# 1
Entry from Alexandria: a relaxed Cs2CdBr5 crystal (PBE-GGA).

Symmetry: Cmcm, No. 63
Spin magnetization: 1.1 μB per formula unit
E_form (uncorrected): -1092 meV per atom

Cell lengths 9.507, 9.507, 15.205 Å; angles 90.00, 90.00, 141.84 degrees
Atoms (fractional coordinates):
Cs1 0.143 0.857 0.579
Cs2 0.143 0.857 0.921
Cs3 0.857 0.143 0.079
Cs4 0.857 0.143 0.421
Cd1 0.197 0.803 0.250
Cd2 0.803 0.197 0.750
Br1 0.054 0.946 0.156
Br2 0.054 0.946 0.344
Br3 0.274 0.726 0.102
Br4 0.274 0.726 0.398
Br5 0.288 0.712 0.750
Br6 0.712 0.288 0.250
Br7 0.726 0.274 0.602
Br8 0.726 0.274 0.898
Br9 0.946 0.054 0.656
Br10 0.946 0.054 0.844

# 2
Entry from Alexandria: a relaxed NpInHgPb crystal (PBE-GGA).

Energy of formation from the pure elements: 0.210 eV per atom
Symmetry: F-43m, No. 216
Spin magnetization: 4.4 μB per formula unit

Cell lengths 5.323, 5.323, 5.323 Å; angles 60.00, 60.00, 60.00 degrees
Atoms (fractional coordinates):
Np1 0.000 0.000 0.000
In1 0.500 0.500 0.500
Hg1 0.250 0.250 0.250
Pb1 0.750 0.750 0.750

# 3
Entry from Alexandria: a relaxed CeNd5Sn3 crystal (PBE-GGA).

Energy of formation from the pure elements: -0.567 eV per atom
Symmetry: P6_3/mcm, No. 193
Spin magnetization: 3.4 μB per formula unit

Cell lengths 9.656, 9.656, 6.720 Å; angles 90.00, 90.00, 120.00 degrees
Atoms (fractional coordinates):
Ce1 0.000 0.000 0.000
Ce2 0.000 0.000 0.500
Nd1 0.000 0.329 0.250
Nd2 0.000 0.671 0.750
Nd3 0.329 0.000 0.250
Nd4 0.329 0.329 0.750
Nd5 0.333 0.667 0.000
Nd6 0.333 0.667 0.500
Nd7 0.667 0.333 0.000
Nd8 0.667 0.333 0.500
Nd9 0.671 0.000 0.750
Nd10 0.671 0.671 0.250
Sn1 0.000 0.336 0.750
Sn2 0.000 0.664 0.250
Sn3 0.336 0.000 0.750
Sn4 0.336 0.336 0.250
Sn5 0.664 0.000 0.250
Sn6 0.664 0.664 0.750

# 4
Entry from Alexandria: a relaxed LiTcRh crystal (PBE-GGA).

Energy of formation from the pure elements: 0.366 eV per atom
Symmetry: F-43m, No. 216
Spin magnetization: 0.0 μB per formula unit

Cell lengths 4.065, 4.065, 4.065 Å; angles 60.00, 60.00, 60.00 degrees
Atoms (fractional coordinates):
Li1 0.000 0.000 0.000
Tc1 0.500 0.500 0.500
Rh1 0.750 0.750 0.750

# 5
Entry from Alexandria: a relaxed KTlCd3 crystal (PBE-GGA).

Energy of formation from the pure elements: 0.161 eV per atom
Symmetry: Pm-3m, No. 221
Spin magnetization: 0.0 μB per formula unit

Cell lengths 5.784, 5.784, 5.784 Å; angles 90.00, 90.00, 90.00 degrees
Atoms (fractional coordinates):
K1 0.000 0.000 0.000
Tl1 0.500 0.500 0.500
Cd1 0.000 0.500 0.500
Cd2 0.500 0.000 0.500
Cd3 0.500 0.500 0.000

# 6
Entry from Alexandria: a relaxed Sn2PtI crystal (PBE-GGA).

Symmetry: Fm-3m, No. 225
Spin magnetization: 0.0 μB per formula unit
E_form (uncorrected): 230 meV per atom

Cell lengths 5.230, 5.230, 5.230 Å; angles 60.00, 60.00, 60.00 degrees
Atoms (fractional coordinates):
Sn1 0.250 0.250 0.250
Sn2 0.750 0.750 0.750
Pt1 0.000 0.000 0.000
I1 0.500 0.500 0.500

# 7
Entry from Alexandria: a relaxed Ce4DyTm crystal (PBE-GGA).

Energy of formation from the pure elements: 0.210 eV per atom
Symmetry: F-43m, No. 216
Spin magnetization: 4.2 μB per formula unit

Cell lengths 6.295, 6.295, 6.295 Å; angles 60.00, 60.00, 60.00 degrees
Atoms (fractional coordinates):
Ce1 0.123 0.123 0.123
Ce2 0.123 0.123 0.632
Ce3 0.123 0.632 0.123
Ce4 0.632 0.123 0.123
Dy1 0.500 0.500 0.500
Tm1 0.750 0.750 0.750

# 8
Entry from Alexandria: a relaxed Er4TlSe crystal (PBE-GGA).

Symmetry: P2_1/m, No. 11
Spin magnetization: 0.0 μB per formula unit
E_form (uncorrected): -592 meV per atom

Cell lengths 5.919, 6.711, 8.211 Å; angles 90.00, 93.35, 90.00 degrees
Atoms (fractional coordinates):
Er1 0.095 0.250 0.054
Er2 0.145 0.750 0.348
Er3 0.347 0.503 0.729
Er4 0.347 0.997 0.729
Er5 0.653 0.003 0.271
Er6 0.653 0.497 0.271
Er7 0.855 0.250 0.652
Er8 0.905 0.750 0.946
Tl1 0.243 0.250 0.412
Tl2 0.757 0.750 0.588
Se1 0.384 0.750 0.035
Se2 0.616 0.250 0.965